(1)
This record from Alexandria via LeMat-Bulk describes a relaxed structure of Ac2TbScTe6. The functional is GGA-PBE.

```
data_Ac2TbScTe6
_chemical_formula_sum 'Ac4 Tb2 Sc2 Te12'
_cell_length_a 7.4902
_cell_length_b 8.3974
_cell_length_c 13.3598
_cell_angle_alpha 90.00
_cell_angle_beta 123.43
_cell_angle_gamma 90.00
_space_group_name_H-M_alt 'P 1'
_space_group_IT_number 1
loop_
_space_group_symop_operation_xyz
'x,y,z'
loop_
_atom_site_label
_atom_site_type_symbol
_atom_site_fract_x
_atom_site_fract_y
_atom_site_fract_z
Ac1 Ac 0.1994 0.1124 0.2473
Ac2 Ac 0.1994 0.3876 0.7473
Ac3 Ac 0.8006 0.6124 0.2527
Ac4 Ac 0.8006 0.8876 0.7527
Tb1 Tb 0.5000 0.0000 0.0000
Tb2 Tb 0.5000 0.5000 0.5000
Sc1 Sc 0.0000 0.0000 0.5000
Sc2 Sc 0.0000 0.5000 0.0000
Te1 Te 0.1011 0.1873 0.9394
Te2 Te 0.1011 0.3127 0.4394
Te3 Te 0.2671 0.6761 0.9401
Te4 Te 0.2671 0.8239 0.4401
Te5 Te 0.3739 0.0282 0.7425
Te6 Te 0.3739 0.4718 0.2425
Te7 Te 0.6261 0.5282 0.7575
Te8 Te 0.6261 0.9718 0.2575
Te9 Te 0.7329 0.1761 0.5599
Te10 Te 0.7329 0.3239 0.0599
Te11 Te 0.8989 0.6873 0.5606
Te12 Te 0.8989 0.8127 0.0606
```

space-group type = No. 14
energy = -0.1937 Ha/atom

(2)
This record from Alexandria via LeMat-Bulk describes a relaxed structure of Li6TlSn. The functional is GGA-PBE.

```
data_Li6TlSn
_chemical_formula_sum 'Li6 Tl1 Sn1'
_cell_length_a 8.1515
_cell_length_b 8.1515
_cell_length_c 8.1515
_cell_angle_alpha 33.23
_cell_angle_beta 33.23
_cell_angle_gamma 33.23
_space_group_name_H-M_alt 'P 1'
_space_group_IT_number 1
loop_
_space_group_symop_operation_xyz
'x,y,z'
loop_
_atom_site_label
_atom_site_type_symbol
_atom_site_fract_x
_atom_site_fract_y
_atom_site_fract_z
Li1 Li 0.1238 0.1238 0.1238
Li2 Li 0.2555 0.2555 0.2555
Li3 Li 0.3738 0.3738 0.3738
Li4 Li 0.6262 0.6262 0.6262
Li5 Li 0.7445 0.7445 0.7445
Li6 Li 0.8762 0.8762 0.8762
Tl1 Tl 0.5000 0.5000 0.5000
Sn1 Sn 0.0000 0.0000 0.0000
```

space-group type = No. 166
relative energy among the computed polymorphs = 0.0000 eV/atom
formation energy from the elements = -30 kJ per mole of atoms

| no. | spin magnetization (μB per cell) |
| --- | --- |
| 1 | 0.0 |
| 2 | 0.0 |